Record 1
First-principles (PBE) data for a relaxed structure of Sr2AlGa6Ag, as listed in Alexandria.

Unit cell a=6.6149 b=6.6149 c=13.0401 alpha=75.31 beta=75.31 gamma=60.00
Last column: nearest neighbours and their distance in Å.
Positions (direct):
Ga  0.8110  0.2066  0.1714  1 Ag 2.49, 2 Ga 2.62, 1 Al 2.62
Ga  0.0541  0.6489  0.6482  1 Ag 2.63, 2 Ga 2.68, 1 Al 2.93
Ga  0.9459  0.3511  0.3518  1 Ag 2.63, 2 Ga 2.68, 1 Al 2.93
Ga  0.6489  0.0541  0.6482  1 Ag 2.63, 2 Ga 2.68, 1 Al 2.93
Al  0.5000  0.5000  0.5000  6 Ga 2.93, 2 Ag 3.17
Ga  0.1890  0.7934  0.8286  1 Ag 2.49, 2 Ga 2.62, 1 Al 2.62
Ga  0.6489  0.6489  0.6482  1 Ag 2.63, 2 Ga 2.68, 1 Al 2.93
Sr  0.8616  0.8616  0.4152  12 Ga 3.29-3.42
Sr  0.1384  0.1384  0.5848  12 Ga 3.29-3.42
Ag  0.4153  0.4153  0.7540  6 Ga 2.49-2.63
Ga  0.7934  0.1890  0.8286  1 Ag 2.49, 2 Ga 2.62, 1 Al 2.62
Sr  0.3080  0.3080  0.0761  12 Ga 3.54-3.85, 3 Al 3.94
Ag  0.5847  0.5847  0.2460  6 Ga 2.49-2.63
Sr  0.6920  0.6920  0.9239  12 Ga 3.54-3.85, 3 Al 3.94
Ga  0.1890  0.1890  0.8286  1 Ag 2.49, 2 Ga 2.62, 1 Al 2.62
Ga  0.2066  0.8110  0.1714  1 Ag 2.49, 2 Ga 2.62, 1 Al 2.62
Ga  0.8110  0.8110  0.1714  1 Ag 2.49, 2 Ga 2.62, 1 Al 2.62
Al  0.0000  0.0000  0.0000  6 Ga 2.62
Ga  0.3511  0.3511  0.3518  1 Ag 2.63, 2 Ga 2.68, 1 Al 2.93
Ga  0.3511  0.9459  0.3518  1 Ag 2.63, 2 Ga 2.68, 1 Al 2.93

Volume, Å³ per cell: 472.5
N(E_F), states/eV/f.u.: 2.4
E_form, eV per formula unit: -1.96
SG: R-3m


Record 2
First-principles (PBE) data for a relaxed structure of Sm2HoTm7, as listed in Alexandria.

Unit cell a=3.4883 b=14.5929 c=14.5929 alpha=154.68 beta=90.00 gamma=90.00
Last column: nearest neighbours and their distance in Å.
Positions (direct):
Tm  0.0000  0.8158  0.1841  6 Tm 3.40-3.49, 6 Sm 3.51-3.71
Sm  0.5000  0.2911  0.7089  2 Sm 3.49, 8 Tm 3.51-3.71
Sm  0.5000  0.7089  0.2911  2 Sm 3.49, 8 Tm 3.51-3.71
Tm  0.5000  0.8517  0.6558  7 Tm 3.15-3.49
Tm  0.0000  0.1842  0.8159  6 Tm 3.40-3.49, 6 Sm 3.51-3.71
Tm  0.5000  0.6558  0.8517  7 Tm 3.15-3.49
Tm  0.5000  0.3442  0.1483  7 Tm 3.15-3.49
Tm  0.5000  0.1483  0.3442  7 Tm 3.15-3.49
Ho  0.0000  0.0000  0.0000  2 Ho 3.49, 12 Tm 3.64-3.65
Tm  0.5000  0.5000  0.5000  6 Tm 3.23-3.49

Volume, Å³ per cell: 317.7
N(E_F), states/eV/f.u.: 14.2
E_form, eV per formula unit: 1.61
SG: Cmmm
Energy above the most stable polymorph in this dataset, meV/atom: 137


Record 3
First-principles (PBE) data for a relaxed structure of CsPH2O4, as listed in Alexandria.

Unit cell a=6.4575 b=4.9514 c=16.3902 alpha=70.39 beta=90.00 gamma=90.00
Last column: nearest neighbours and their distance in Å.
Positions (direct):
O  0.5518  0.4183  0.1910  1 H 1.45, 1 P 1.53
O  0.7518  0.3942  0.5585  1 H 1.02
O  0.7482  0.3942  0.0585  1 H 1.02
H  0.2547  0.8245  0.9230  1 O 1.02
Cs  0.7483  0.9552  0.8841  9 O 3.17-3.51, 4 H 3.27-3.35
O  0.5508  0.4231  0.6849  1 H 1.05
P  0.2601  0.4657  0.8672  4 O 1.52-1.59
H  0.9867  0.4917  0.2373  1 O 1.05
P  0.2399  0.4657  0.3672  4 O 1.52-1.59
O  0.9492  0.4231  0.1849  1 H 1.05
O  0.4492  0.5769  0.3151  1 H 1.05
O  0.4482  0.5817  0.8090  1 H 1.45, 1 P 1.53
P  0.7399  0.5343  0.1328  4 O 1.52-1.59
O  0.0518  0.5817  0.3090  1 H 1.45, 1 P 1.53
H  0.7453  0.1755  0.0770  1 O 1.02
O  0.2564  0.1439  0.9128  1 P 1.52, 1 H 1.53
O  0.7436  0.8561  0.0872  1 P 1.52, 1 H 1.53
Cs  0.2483  0.0448  0.6159  9 O 3.17-3.51, 4 H 3.27-3.35
P  0.7601  0.5343  0.6328  4 O 1.52-1.59
O  0.2518  0.6058  0.9415  1 H 1.02
H  0.7547  0.1755  0.5770  1 O 1.02
Cs  0.7517  0.9552  0.3841  9 O 3.17-3.51, 4 H 3.27-3.35
O  0.0508  0.5769  0.8151  1 H 1.05
O  0.2436  0.1439  0.4128  1 P 1.52, 1 H 1.53
H  0.0133  0.5083  0.7627  1 O 1.05
H  0.2453  0.8245  0.4230  1 O 1.02
O  0.9482  0.4183  0.6910  1 H 1.45, 1 P 1.53
Cs  0.2517  0.0448  0.1159  9 O 3.17-3.51, 4 H 3.27-3.35
H  0.5133  0.4917  0.7373  1 O 1.05
O  0.2482  0.6058  0.4415  1 H 1.02
O  0.7564  0.8561  0.5872  1 P 1.52, 1 H 1.53
H  0.4867  0.5083  0.2627  1 O 1.05

Volume, Å³ per cell: 493.7
N(E_F), states/eV/f.u.: 0.0
Uncorrected energy, eV/cell: -190.5
SG: P2_1/c


Question: Which of these has the lowest N(E_F)?
Answer: CsPH2O4